1.
# K4MgCo | Alexandria via LeMat-Bulk | PBEsol | optimized geometry
# VASP energy = -1.38 eV per atom
# Formation enthalpy at 0 K = 0.95 eV/atom
# DOS(E_F) = 1.651 states/eV per atom
data_K4MgCo
_chemical_formula_sum 'K16 Mg4 Co4'
_cell_length_a 10.206
_cell_length_b 10.206
_cell_length_c 10.206
_cell_angle_alpha 90.00
_cell_angle_beta 90.00
_cell_angle_gamma 90.00
_space_group_name_H-M_alt 'F -4 3 m'
_space_group_IT_number 216
_space_group_name_Hall 'F -4 2 3'
loop_
_atom_site_label
_atom_site_fract_x
_atom_site_fract_y
_atom_site_fract_z
K1 0.124 0.124 0.376
Mg1 0.000 0.000 0.000
Co1 0.250 0.250 0.750

2.
# Mo3RhS | Alexandria via LeMat-Bulk | PBEsol | optimized geometry
# VASP energy = -7.66 eV per atom
# DOS(E_F) = 1.267 states/eV per atom
data_Mo3RhS
_chemical_formula_sum 'Mo3 Rh1 S1'
_cell_length_a 4.636
_cell_length_b 4.636
_cell_length_c 4.636
_cell_angle_alpha 90.00
_cell_angle_beta 90.00
_cell_angle_gamma 90.00
_space_group_name_H-M_alt 'P m -3 m'
_space_group_IT_number 221
_space_group_name_Hall '-P 4 2 3'
loop_
_atom_site_label
_atom_site_fract_x
_atom_site_fract_y
_atom_site_fract_z
Mo1 0.000 0.000 0.500
Rh1 0.000 0.000 0.000
S1 0.500 0.500 0.500